Entry 1:
{"formula": "Rb3Pr3SnO8", "functional": "PBE", "state": "optimized geometry", "cell": [[-6.972, -1.417, 1.078], [4.831, -5.329, 0.219], [-0.089, 5.028, 6.034]], "species": ["Rb", "Rb", "Rb", "Pr", "Pr", "Pr", "Sn", "O", "O", "O", "O", "O", "O", "O", "O"], "frac_coords": [[0.000, 0.000, 0.000], [0.000, 0.500, 0.000], [0.500, 0.500, 0.000], [0.500, 0.000, 0.500], [0.500, 0.500, 0.500], [0.000, 0.500, 0.500], [0.000, 0.000, 0.500], [0.274, 0.549, 0.323], [0.726, 0.451, 0.677], [0.794, 0.588, 0.331], [0.206, 0.412, 0.669], [0.794, 0.037, 0.331], [0.206, 0.963, 0.669], [0.243, 0.037, 0.331], [0.757, 0.963, 0.669]], "dft_energy_ev_per_cell": -96.1, "total_magnetization_mub_per_fu": 0.0, "spacegroup": "No. 166", "dos_at_fermi_per_ev_atom": 0.000}


Entry 2:
{"formula": "Rb3Pr3TaO8", "functional": "PBE", "state": "optimized geometry", "cell": [[-6.081, -2.280, 2.914], [2.201, -2.693, -6.212], [3.942, -2.260, 6.457]], "species": ["Rb", "Rb", "Rb", "Pr", "Pr", "Pr", "Ta", "O", "O", "O", "O", "O", "O", "O", "O"], "frac_coords": [[0.000, 0.000, 0.000], [0.000, 0.500, 0.000], [0.500, 0.500, 0.000], [0.500, 0.000, 0.500], [0.500, 0.500, 0.500], [0.000, 0.500, 0.500], [0.000, 0.000, 0.500], [0.270, 0.540, 0.311], [0.730, 0.460, 0.689], [0.806, 0.612, 0.338], [0.194, 0.388, 0.662], [0.806, 0.032, 0.338], [0.194, 0.968, 0.662], [0.226, 0.032, 0.338], [0.774, 0.968, 0.662]], "dft_energy_ev_per_cell": -107.2, "total_magnetization_mub_per_fu": 0.0, "spacegroup": "No. 166", "dos_at_fermi_per_ev_atom": 0.152}